(A)
Computed, not measured: crystalline Dy2TlIr at its relaxed geometry at the GGA-PBE level of DFT.

CIF file:
```
data_Dy2TlIr
_space_group_name_H-M_alt 'R 3 m'
_space_group_IT_number 160
_space_group_name_Hall 'R 3 -2"'
_cell_length_a 4.0281
_cell_length_b 4.0281
_cell_length_c 23.7396
_cell_angle_alpha 90.00
_cell_angle_beta 90.00
_cell_angle_gamma 120.00
loop_
_atom_site_label
_atom_site_fract_x
_atom_site_fract_y
_atom_site_fract_z
Dy1 0.0000 0.0000 0.0000
Dy2 0.0000 0.0000 0.2071
Tl1 0.0000 0.0000 0.7696
Ir1 0.0000 0.0000 0.6042
```

## Properties
**Theoretical density**: 10.78 g cm⁻³
**Total moment**: 0.00 μB/cell

=====

(B)
Computed, not measured: crystalline Dy2TlIr at its relaxed geometry at the GGA-PBE level of DFT.

CIF file:
```
data_Dy2TlIr
_space_group_name_H-M_alt 'F m -3 m'
_space_group_IT_number 225
_space_group_name_Hall '-F 4 2 3'
_cell_length_a 7.208
_cell_length_b 7.208
_cell_length_c 7.208
_cell_angle_alpha 90.00
_cell_angle_beta 90.00
_cell_angle_gamma 90.00
loop_
_atom_site_label
_atom_site_fract_x
_atom_site_fract_y
_atom_site_fract_z
Dy1 0.250 0.250 0.250
Tl1 0.000 0.000 0.000
Ir1 0.000 0.000 0.500
```

## Properties
**Theoretical density**: 12.80 g cm⁻³
**Total moment**: 0.00 μB/cell

=====

(C)
Computed, not measured: crystalline Dy2TlIr at its relaxed geometry at the GGA-PBE level of DFT.

CIF file:
```
data_Dy2TlIr
_space_group_name_H-M_alt 'P 4/m m m'
_space_group_IT_number 123
_space_group_name_Hall '-P 4 2'
_cell_length_a 3.523
_cell_length_b 3.523
_cell_length_c 7.682
_cell_angle_alpha 90.00
_cell_angle_beta 90.00
_cell_angle_gamma 90.00
loop_
_atom_site_label
_atom_site_fract_x
_atom_site_fract_y
_atom_site_fract_z
Dy1 0.000 0.000 0.212
Tl1 0.500 0.500 0.500
Ir1 0.500 0.500 0.000
```

## Properties
**Theoretical density**: 12.56 g cm⁻³
**Total moment**: 0.00 μB/cell

=====

Most stable structure among those shown: (C).